DFT (PBE) results for a geometry-optimized Co5Ni structure.

## Properties
Its energy relative to the lowest polymorph listed for this composition is 0.003 eV per atom. The size of the total moment comes out at 16.94 μB per cell. For the volume, the calculation gives 10.83 Å³/atom. The formation energy is -0.006 eV per atom.

a = 4.029 Å, b = 2.482 Å, c = 13.001 Å
α = 90.00°, β = 90.00°, γ = 90.00°
Space group Amm2 (No. 38)
Inequivalent atoms, fractional coordinates:
Co (0.000, 0.000, 0.000)
Co (0.000, 0.000, 0.333)
Co (0.000, 0.000, 0.666)
Co (0.500, 0.000, 0.223)
Co (0.500, 0.000, 0.557)
Ni (0.500, 0.000, 0.889)